Model one:
The following is a DFT calculation (PBE-GGA) of a relaxed La2TbTe crystal.

Results
Mass density: 7.01 g cm⁻³
Spin magnetization: 0.0 Bohr magnetons per cell
Calculated volume: 33.40 Å³ per atom
Space-group type: P4/mmm, No. 123

Geometry as POSCAR:
```
La2TbTe
1.0
4.042 0.000 0.000
0.000 4.042 0.000
0.000 0.000 8.179
La Tb Te
2 1 1
Cartesian
0.000 0.000 5.899 La
0.000 0.000 2.281 La
2.021 2.021 0.000 Tb
2.021 2.021 4.090 Te
```



Model two:
The following is a DFT calculation (PBE-GGA) of a relaxed La2TbTe crystal.

Results
Mass density: 6.51 g cm⁻³
Spin magnetization: 0.7 Bohr magnetons per cell
Calculated volume: 35.96 Å³ per atom
Space-group type: R3m, No. 160

Geometry as POSCAR:
```
La2TbTe
1.0
-0.164 -1.145 3.889
3.362 -1.267 1.885
3.025 8.670 4.797
La Tb Te
2 1 1
Cartesian
2.596 6.594 4.168 La
1.495 1.272 2.554 La
3.112 3.136 5.288 Tb
5.155 7.057 8.645 Te
```



model one comes first in stability; the runner-up is 20 meV per atom higher.



Model one:
The following is a DFT calculation (PBE-GGA) of a relaxed LaTbTe2 crystal.

Results
Mass density: 7.24 g cm⁻³
Spin magnetization: 0.0 Bohr magnetons per cell
Calculated volume: 31.70 Å³ per atom
Space-group type: R-3m, No. 166

Geometry as POSCAR:
```
LaTbTe2
1.0
4.464 0.000 0.000
2.232 3.866 0.000
2.232 1.289 7.347
Tb Te La
1 2 1
Cartesian
0.000 0.000 0.000 Tb
2.232 1.289 1.723 Te
6.697 3.866 5.623 Te
4.464 2.578 3.673 La
```



Model two:
The following is a DFT calculation (PBE-GGA) of a relaxed LaTbTe2 crystal.

Results
Mass density: 7.19 g cm⁻³
Spin magnetization: 0.0 Bohr magnetons per cell
Calculated volume: 31.92 Å³ per atom
Space-group type: R3m, No. 160

Geometry as POSCAR:
```
LaTbTe2
1.0
-1.214 0.152 4.177
-4.132 -0.819 1.096
-0.079 -7.777 2.529
La Te Tb
1 2 1
Cartesian
-2.693 -4.309 3.910 La
-1.384 -1.989 1.938 Te
-0.477 -6.013 2.349 Te
-3.664 -8.130 6.035 Tb
```



model one comes first in stability; the runner-up is 6 meV per atom higher.



Model one:
The following is a DFT calculation (PBE-GGA) of a relaxed LaTbTe2 crystal.

Results
Mass density: 7.21 g cm⁻³
Spin magnetization: 0.0 Bohr magnetons per cell
Calculated volume: 31.83 Å³ per atom
Space-group type: Pmn2_1, No. 31

Geometry as POSCAR:
```
LaTbTe2
1.0
-1.210 1.630 4.001
2.614 -3.023 2.022
9.705 8.138 -0.382
Tb Te La
2 4 2
Cartesian
9.945 7.678 3.406 Tb
4.593 -0.739 2.703 Tb
7.589 5.691 3.501 Te
2.612 1.530 3.695 Te
11.926 5.409 2.414 Te
6.960 1.235 2.612 Te
9.449 3.320 2.514 La
5.101 3.605 3.599 La
```



Model two:
The following is a DFT calculation (PBE-GGA) of a relaxed LaTbTe2 crystal.

Results
Mass density: 7.96 g cm⁻³
Spin magnetization: 0.7 Bohr magnetons per cell
Calculated volume: 28.84 Å³ per atom
Space-group type: Fm-3m, No. 225

Geometry as POSCAR:
```
LaTbTe2
1.0
5.464 0.000 0.000
2.732 4.732 0.000
2.732 1.577 4.462
Tb La Te
1 1 2
Cartesian
5.464 3.155 2.231 Tb
0.000 0.000 0.000 La
2.732 1.577 1.115 Te
8.197 4.732 3.346 Te
```



model one comes first in stability; the runner-up is 122 meV per atom higher.



Model one:
The following is a DFT calculation (PBE-GGA) of a relaxed La4TbTe5 crystal.

Results
Mass density: 6.78 g cm⁻³
Spin magnetization: 0.0 Bohr magnetons per cell
Calculated volume: 33.14 Å³ per atom
Space-group type: I4/mmm, No. 139

Geometry as POSCAR:
```
La4TbTe5
1.0
4.541 0.000 0.000
0.000 4.541 0.000
-2.270 -2.270 16.072
Te La Tb
5 4 1
Cartesian
2.270 2.270 12.985 Te
2.270 2.270 6.483 Te
2.270 2.270 0.000 Te
0.000 0.000 3.086 Te
0.000 0.000 9.589 Te
2.270 2.270 3.240 La
0.000 0.000 12.832 La
0.000 0.000 6.325 La
2.270 2.270 9.746 La
0.000 0.000 0.000 Tb
```



Model two:
The following is a DFT calculation (PBE-GGA) of a relaxed La4TbTe5 crystal.

Results
Mass density: 6.79 g cm⁻³
Spin magnetization: 0.0 Bohr magnetons per cell
Calculated volume: 33.09 Å³ per atom
Space-group type: I4, No. 79

Geometry as POSCAR:
```
La4TbTe5
1.0
-5.277 -3.614 0.695
0.742 -7.334 -2.726
-0.315 -3.963 6.780
La Te Tb
4 5 1
Cartesian
-3.850 -11.093 2.474 La
-2.092 -7.531 4.558 La
-2.767 -7.386 0.193 La
-1.009 -3.825 2.277 La
-3.735 -5.505 2.622 Te
-2.647 -1.813 0.349 Te
-4.718 -9.327 5.059 Te
-1.124 -9.412 2.128 Te
-0.141 -5.590 -0.308 Te
-0.010 -0.007 0.001 Tb
```



model two comes first in stability; the runner-up is 7 meV per atom higher.



Model one:
The following is a DFT calculation (PBE-GGA) of a relaxed La3TbTh2 crystal.

Results
Mass density: 8.42 g cm⁻³
Spin magnetization: 0.0 Bohr magnetons per cell
Calculated volume: 34.17 Å³ per atom
Space-group type: P2_1/m, No. 11

Geometry as POSCAR:
```
La3TbTh2
1.0
3.636 0.000 0.000
0.000 10.267 1.233
0.000 -1.341 10.822
Tb La Th
2 6 4
Cartesian
0.909 7.982 9.182 Tb
2.727 0.943 2.873 Tb
0.909 2.856 8.598 La
2.727 0.613 6.497 La
2.727 5.352 10.724 La
2.727 6.070 3.457 La
0.909 8.312 5.557 La
0.909 3.574 1.331 La
2.727 -0.071 10.075 Th
0.909 3.360 5.005 Th
2.727 5.566 7.050 Th
0.909 8.996 1.979 Th
```



Model two:
The following is a DFT calculation (PBE-GGA) of a relaxed La3TbTh2 crystal.

Results
Mass density: 8.34 g cm⁻³
Spin magnetization: 0.0 Bohr magnetons per cell
Calculated volume: 34.50 Å³ per atom
Space-group type: R-3m, No. 166

Geometry as POSCAR:
```
La3TbTh2
1.0
7.441 -1.747 0.248
0.175 7.642 0.248
-2.258 -1.747 7.095
Tb Th La
2 4 6
Cartesian
1.800 1.393 2.550 Tb
3.558 2.754 5.041 Tb
3.808 2.947 0.248 Th
-1.041 2.947 3.671 Th
0.000 0.000 0.000 Th
2.592 -1.747 3.671 Th
4.382 -0.373 6.207 La
4.620 -0.188 1.384 La
5.601 4.335 2.774 La
-0.243 -0.188 4.817 La
0.977 4.519 1.384 La
0.738 4.335 6.207 La
```



model one comes first in stability; the runner-up is 359 meV per atom higher.



Model one:
The following is a DFT calculation (PBE-GGA) of a relaxed La4Tb3Th crystal.

Results
Mass density: 7.56 g cm⁻³
Spin magnetization: 0.0 Bohr magnetons per cell
Calculated volume: 34.74 Å³ per atom
Space-group type: C2/m, No. 12

Geometry as POSCAR:
```
La4Tb3Th
1.0
3.459 0.000 -0.436
-0.181 6.778 -1.432
-0.232 -0.955 12.089
La Tb Th
4 3 1
Cartesian
0.293 2.209 2.322 La
2.753 3.614 7.898 La
2.415 1.119 5.213 La
0.632 4.704 5.007 La
0.202 5.756 1.601 Tb
2.844 0.067 8.619 Tb
-0.090 3.389 -0.716 Tb
1.729 0.000 -0.218 Th
```



Model two:
The following is a DFT calculation (PBE-GGA) of a relaxed La4Tb3Th crystal.

Results
Mass density: 7.53 g cm⁻³
Spin magnetization: 0.0 Bohr magnetons per cell
Calculated volume: 34.84 Å³ per atom
Space-group type: Cmmm, No. 65

Geometry as POSCAR:
```
La4Tb3Th
1.0
3.453 0.000 0.000
0.000 8.925 1.296
0.000 -2.384 8.698
Tb La Th
3 4 1
Cartesian
1.726 3.271 4.997 Tb
0.000 4.463 0.648 Tb
0.000 -1.192 4.349 Tb
0.000 1.575 2.406 La
0.000 4.966 7.588 La
1.726 6.087 3.154 La
1.726 0.454 6.840 La
1.726 0.000 0.000 Th
```



model one comes first in stability; the runner-up is 204 meV per atom higher.



Model one:
The following is a DFT calculation (PBE-GGA) of a relaxed LaTbTh crystal.

Results
Mass density: 8.75 g cm⁻³
Spin magnetization: 0.0 Bohr magnetons per cell
Calculated volume: 33.53 Å³ per atom
Space-group type: P3m1, No. 156

Geometry as POSCAR:
```
LaTbTh
1.0
-3.012 -1.957 0.374
3.126 -1.224 1.331
-1.693 4.081 7.732
Tb La Th
1 1 1
Cartesian
-0.026 1.198 6.064 Tb
-0.017 0.042 0.079 La
-1.535 -0.341 3.293 Th
```



Model two:
The following is a DFT calculation (PBE-GGA) of a relaxed LaTbTh crystal.

Results
Mass density: 8.74 g cm⁻³
Spin magnetization: 0.0 Bohr magnetons per cell
Calculated volume: 33.54 Å³ per atom
Space-group type: Cm, No. 8

Geometry as POSCAR:
```
LaTbTh
1.0
-1.562 -0.357 3.262
1.419 -2.270 2.455
4.990 5.635 5.029
Th Tb La
1 1 1
Cartesian
3.368 2.301 5.912 Th
4.909 3.486 8.804 Tb
1.776 1.049 2.989 La
```



model two comes first in stability; the runner-up is 17 meV per atom higher.



Model one:
The following is a DFT calculation (PBE-GGA) of a relaxed LaTbTh crystal.

Results
Mass density: 8.68 g cm⁻³
Spin magnetization: 0.0 Bohr magnetons per cell
Calculated volume: 33.78 Å³ per atom
Space-group type: I4mm, No. 107

Geometry as POSCAR:
```
LaTbTh
1.0
-2.038 -1.594 2.545
2.734 0.286 2.369
-2.980 7.540 -0.252
Tb Th La
1 1 1
Cartesian
-0.056 0.146 0.047 Tb
-0.517 1.611 3.182 Th
-1.710 4.476 1.433 La
```



Model two:
The following is a DFT calculation (PBE-GGA) of a relaxed LaTbTh crystal.

Results
Mass density: 8.72 g cm⁻³
Spin magnetization: 0.0 Bohr magnetons per cell
Calculated volume: 33.64 Å³ per atom
Space-group type: P-6m2, No. 187

Geometry as POSCAR:
```
LaTbTh
1.0
-1.897 0.302 2.915
-2.747 -4.919 -1.279
4.835 -0.129 3.160
Tb Th La
1 1 1
Cartesian
-1.485 -3.121 2.144 Tb
1.990 -1.675 2.168 Th
-0.315 0.050 0.484 La
```



model one comes first in stability; the runner-up is 77 meV per atom higher.



Model one:
The following is a DFT calculation (PBE-GGA) of a relaxed LaTbTh crystal.

Results
Mass density: 8.72 g cm⁻³
Spin magnetization: 0.0 Bohr magnetons per cell
Calculated volume: 33.64 Å³ per atom
Space-group type: C2/m, No. 12

Geometry as POSCAR:
```
LaTbTh
1.0
3.612 -0.016 -0.040
-1.792 3.136 0.040
-1.597 -1.159 17.877
Th Tb La
2 2 2
Cartesian
0.129 2.015 10.370 Th
0.094 -0.055 7.507 Th
1.871 0.999 4.623 Tb
-1.649 0.962 13.254 Tb
0.188 -0.110 16.285 La
0.035 2.070 1.592 La
```



Model two:
The following is a DFT calculation (PBE-GGA) of a relaxed LaTbTh crystal.

Results
Mass density: 8.56 g cm⁻³
Spin magnetization: 0.0 Bohr magnetons per cell
Calculated volume: 34.27 Å³ per atom
Space-group type: P4/nmm, No. 129

Geometry as POSCAR:
```
LaTbTh
1.0
-0.376 4.212 -0.171
-1.635 -0.304 -3.892
-10.539 -0.760 4.486
Th Tb La
2 2 2
Cartesian
-10.572 -0.855 2.206 Th
-0.973 2.050 0.249 Th
-3.195 -0.323 -0.934 Tb
-8.350 1.517 3.389 Tb
-7.141 -0.608 0.745 La
-4.404 1.802 1.709 La
```



model one comes first in stability; the runner-up is 78 meV per atom higher.



Model one:
The following is a DFT calculation (PBE-GGA) of a relaxed LaTb7Th3 crystal.

Results
Mass density: 8.84 g cm⁻³
Spin magnetization: 0.0 Bohr magnetons per cell
Calculated volume: 33.25 Å³ per atom
Space-group type: P-1, No. 2

Geometry as POSCAR:
```
LaTb7Th3
1.0
-6.380 -1.839 1.021
0.059 -5.131 -3.978
4.181 -5.504 5.295
Th Tb La
3 7 1
Cartesian
-3.190 -0.919 0.511 Th
-2.534 -7.291 4.692 Th
0.393 -5.182 -2.354 Th
-0.584 -3.013 0.184 Tb
-1.557 -9.460 2.155 Tb
0.784 -8.768 -0.610 Tb
-2.924 -3.705 2.949 Tb
2.120 -5.317 0.659 Tb
1.789 -8.163 2.574 Tb
-3.930 -4.310 -0.235 Tb
-1.070 -6.237 1.169 La
```



Model two:
The following is a DFT calculation (PBE-GGA) of a relaxed LaTb7Th3 crystal.

Results
Mass density: 8.59 g cm⁻³
Spin magnetization: 0.0 Bohr magnetons per cell
Calculated volume: 34.23 Å³ per atom
Space-group type: P3m1, No. 156

Geometry as POSCAR:
```
LaTb7Th3
1.0
8.631 0.000 0.000
0.000 7.097 0.000
0.000 -3.549 6.147
Tb Th La
7 3 1
Cartesian
0.960 1.768 5.118 Tb
0.960 0.000 2.056 Tb
3.915 1.791 1.034 Tb
0.962 3.549 2.049 Tb
0.960 -1.768 5.118 Tb
3.915 5.306 1.034 Tb
3.915 3.549 4.078 Tb
6.766 3.549 0.009 Th
6.766 5.315 3.069 Th
6.766 1.782 3.069 Th
3.948 0.000 4.098 La
```



model one comes first in stability; the runner-up is 67 meV per atom higher.



Model one:
The following is a DFT calculation (PBE-GGA) of a relaxed La4Tb5Th crystal.

Results
Mass density: 7.53 g cm⁻³
Spin magnetization: 0.0 Bohr magnetons per cell
Calculated volume: 34.87 Å³ per atom
Space-group type: C2/m, No. 12

Geometry as POSCAR:
```
La4Tb5Th
1.0
-0.853 5.357 -1.061
-6.177 -2.648 -8.407
-4.274 -2.733 4.033
Tb Th La
5 1 4
Cartesian
-2.263 -0.198 0.820 Tb
-3.515 1.355 -4.734 Tb
-6.780 1.142 -3.183 Tb
-4.523 -1.166 -2.251 Tb
-9.041 0.174 -6.255 Tb
-0.426 2.678 -0.530 Th
-5.185 -1.997 -5.917 La
-3.525 1.993 -1.500 La
-7.779 -2.017 -3.935 La
-6.119 1.973 0.483 La
```



Model two:
The following is a DFT calculation (PBE-GGA) of a relaxed La4Tb5Th crystal.

Results
Mass density: 7.71 g cm⁻³
Spin magnetization: 0.0 Bohr magnetons per cell
Calculated volume: 34.08 Å³ per atom
Space-group type: P4/mmm, No. 123

Geometry as POSCAR:
```
La4Tb5Th
1.0
3.663 0.000 0.000
0.000 3.663 0.000
0.000 0.000 25.403
La Tb Th
4 5 1
Cartesian
0.000 0.000 5.030 La
0.000 0.000 10.149 La
0.000 0.000 20.373 La
0.000 0.000 15.255 La
1.831 1.831 23.021 Tb
1.831 1.831 7.581 Tb
1.831 1.831 2.382 Tb
1.831 1.831 17.823 Tb
1.831 1.831 12.702 Tb
0.000 0.000 0.000 Th
```



model two comes first in stability; the runner-up is 161 meV per atom higher.



Model one:
The following is a DFT calculation (PBE-GGA) of a relaxed LaTb3Th crystal.

Results
Mass density: 8.32 g cm⁻³
Spin magnetization: 0.0 Bohr magnetons per cell
Calculated volume: 33.83 Å³ per atom
Space-group type: C2/m, No. 12

Geometry as POSCAR:
```
LaTb3Th
1.0
3.455 0.000 0.000
-1.727 8.736 2.223
0.000 0.553 11.349
Tb La Th
6 2 2
Cartesian
0.000 5.751 11.095 Tb
1.727 5.473 5.516 Tb
1.727 9.014 10.479 Tb
0.000 0.275 3.093 Tb
1.727 3.538 2.477 Tb
0.000 3.816 8.057 Tb
0.000 2.244 11.192 La
1.727 7.045 2.380 La
0.000 7.283 7.924 Th
1.727 2.006 5.648 Th
```



Model two:
The following is a DFT calculation (PBE-GGA) of a relaxed LaTb3Th crystal.

Results
Mass density: 7.72 g cm⁻³
Spin magnetization: 0.0 Bohr magnetons per cell
Calculated volume: 36.46 Å³ per atom
Space-group type: C2/m, No. 12

Geometry as POSCAR:
```
LaTb3Th
1.0
-1.883 -6.302 -1.290
2.651 -3.552 -3.927
6.706 -4.214 7.856
Tb La Th
6 2 2
Cartesian
2.683 -5.878 -1.251 Tb
4.822 -5.137 5.906 Tb
2.363 -2.586 0.546 Tb
0.002 -5.379 0.660 Tb
4.792 -8.190 3.889 Tb
5.112 -11.481 2.093 Tb
3.644 -8.651 0.652 La
3.831 -5.416 1.986 La
-0.220 -6.487 -2.809 Th
0.988 -3.366 -2.408 Th
```



model one comes first in stability; the runner-up is 192 meV per atom higher.